CePm3Pt3 | the Alexandria database | GGA-PBE | optimized geometry; energy of formation = -913 meV per atom
1.0
5.489 -4.756 0.000
5.489 4.756 0.000
-1.454 0.000 7.025
Ce Pm Pt
2 6 6
Direct
0.219 0.219 0.461
0.781 0.781 0.539
0.192 0.808 0.000
0.286 0.714 0.500
0.301 0.301 0.995
0.699 0.699 0.005
0.714 0.286 0.500
0.808 0.192 0.000
0.018 0.506 0.236
0.050 0.050 0.710
0.494 0.982 0.764
0.506 0.018 0.236
0.950 0.950 0.290
0.982 0.494 0.764